1) {
  "formula": "Zn3PC",
  "functional": "PBE",
  "state": "optimized geometry",
  "magmom_total_mub_per_fu": 1.64,
  "sg": "Pm-3m, No. 221",
  "dos_at_fermi_per_ev_cell": 2.46,
  "lattice_angstrom": [[4.623, 0.000, 0.000], [0.000, 4.623, 0.000], [0.000, 0.000, 4.623]],
  "species": ["Zn", "Zn", "Zn", "P", "C"],
  "fractional_positions": [[0.000, 0.000, 0.500], [0.000, 0.500, 0.000], [0.500, 0.000, 0.000], [0.000, 0.000, 0.000], [0.500, 0.500, 0.500]]
}

=====

2) {
  "formula": "Zn3PC",
  "functional": "PBE",
  "state": "optimized geometry",
  "magmom_total_mub_per_fu": 0.00,
  "sg": "Pm-3m, No. 221",
  "dos_at_fermi_per_ev_cell": 4.70,
  "lattice_angstrom": [[4.146, 0.000, 0.000], [0.000, 4.146, 0.000], [0.000, 0.000, 4.146]],
  "species": ["Zn", "Zn", "Zn", "P", "C"],
  "fractional_positions": [[0.000, 0.000, 0.500], [0.000, 0.500, 0.000], [0.500, 0.000, 0.000], [0.500, 0.500, 0.500], [0.000, 0.000, 0.000]]
}

=====

Which structure is the most stable? The one labeled 2).

=====

1) {
  "formula": "Zn2PC",
  "functional": "PBE",
  "state": "optimized geometry",
  "magmom_total_mub_per_fu": 0.00,
  "sg": "Fm-3m, No. 225",
  "dos_at_fermi_per_ev_cell": 1.70,
  "lattice_angstrom": [[0.000, 2.986, 2.986], [2.986, 0.000, 2.986], [2.986, 2.986, 0.000]],
  "species": ["Zn", "Zn", "P", "C"],
  "fractional_positions": [[0.250, 0.250, 0.250], [0.750, 0.750, 0.750], [0.000, 0.000, 0.000], [0.500, 0.500, 0.500]]
}

=====

2) {
  "formula": "Zn2PC",
  "functional": "PBE",
  "state": "optimized geometry",
  "magmom_total_mub_per_fu": 0.00,
  "sg": "I-42d, No. 122",
  "dos_at_fermi_per_ev_cell": 3.18,
  "lattice_angstrom": [[-2.173, 2.173, 6.339], [2.173, -2.173, 6.339], [2.173, 2.173, -6.339]],
  "species": ["Zn", "Zn", "Zn", "Zn", "P", "P", "C", "C"],
  "fractional_positions": [[0.052, 0.625, 0.927], [0.375, 0.302, 0.427], [0.698, 0.125, 0.073], [0.875, 0.948, 0.573], [0.250, 0.750, 0.500], [0.500, 0.500, 0.000], [0.000, 0.000, 0.000], [0.750, 0.250, 0.500]]
}

=====

Which structure is the most stable? The one labeled 2).

=====

1) {
  "formula": "ZrP3C",
  "functional": "PBE",
  "state": "optimized geometry",
  "magmom_total_mub_per_fu": 1.42,
  "sg": "Pm-3m, No. 221",
  "dos_at_fermi_per_ev_cell": 6.54,
  "lattice_angstrom": [[5.013, 0.000, 0.000], [0.000, 5.013, 0.000], [0.000, 0.000, 5.013]],
  "species": ["Zr", "P", "P", "P", "C"],
  "fractional_positions": [[0.000, 0.000, 0.000], [0.000, 0.000, 0.500], [0.000, 0.500, 0.000], [0.500, 0.000, 0.000], [0.500, 0.500, 0.500]]
}

=====

2) {
  "formula": "ZrP3C",
  "functional": "PBE",
  "state": "optimized geometry",
  "magmom_total_mub_per_fu": 0.00,
  "sg": "Pm-3m, No. 221",
  "dos_at_fermi_per_ev_cell": 2.95,
  "lattice_angstrom": [[4.124, 0.000, 0.000], [0.000, 4.124, 0.000], [0.000, 0.000, 4.124]],
  "species": ["Zr", "P", "P", "P", "C"],
  "fractional_positions": [[0.000, 0.000, 0.000], [0.000, 0.500, 0.500], [0.500, 0.000, 0.500], [0.500, 0.500, 0.000], [0.500, 0.500, 0.500]]
}

=====

Which structure is the most stable? The one labeled 2).

=====

1) {
  "formula": "Zr2PC2",
  "functional": "PBE",
  "state": "optimized geometry",
  "magmom_total_mub_per_fu": 0.00,
  "sg": "I4/mmm, No. 139",
  "dos_at_fermi_per_ev_cell": 2.93,
  "lattice_angstrom": [[-2.197, 2.197, 3.607], [2.197, -2.197, 3.607], [2.197, 2.197, -3.607]],
  "species": ["Zr", "Zr", "P", "C", "C"],
  "fractional_positions": [[0.250, 0.750, 0.500], [0.750, 0.250, 0.500], [0.000, 0.000, 0.000], [0.405, 0.405, 0.000], [0.595, 0.595, 0.000]]
}

=====

2) {
  "formula": "Zr2PC2",
  "functional": "PBE",
  "state": "optimized geometry",
  "magmom_total_mub_per_fu": 0.00,
  "sg": "P4/mbm, No. 127",
  "dos_at_fermi_per_ev_cell": 5.83,
  "lattice_angstrom": [[6.329, 0.000, 0.000], [0.000, 6.329, 0.000], [0.000, 0.000, 3.249]],
  "species": ["Zr", "Zr", "Zr", "Zr", "P", "P", "C", "C", "C", "C"],
  "fractional_positions": [[0.161, 0.339, 0.000], [0.339, 0.839, 0.000], [0.661, 0.161, 0.000], [0.839, 0.661, 0.000], [0.000, 0.000, 0.500], [0.500, 0.500, 0.500], [0.155, 0.655, 0.500], [0.345, 0.155, 0.500], [0.655, 0.845, 0.500], [0.845, 0.345, 0.500]]
}

=====

Which structure is the most stable? The one labeled 1).

=====

1) {
  "formula": "Zr3P2C",
  "functional": "PBE",
  "state": "optimized geometry",
  "magmom_total_mub_per_fu": 0.00,
  "sg": "I4/mmm, No. 139",
  "dos_at_fermi_per_ev_cell": 2.44,
  "lattice_angstrom": [[-1.809, 1.809, 7.801], [1.809, -1.809, 7.801], [1.809, 1.809, -7.801]],
  "species": ["Zr", "Zr", "Zr", "P", "P", "C"],
  "fractional_positions": [[0.000, 0.000, 0.000], [0.356, 0.356, 0.000], [0.644, 0.644, 0.000], [0.171, 0.171, 0.000], [0.829, 0.829, 0.000], [0.500, 0.500, 0.000]]
}

=====

2) {
  "formula": "Zr3P2C",
  "functional": "PBE",
  "state": "optimized geometry",
  "magmom_total_mub_per_fu": 0.00,
  "sg": "C2/c, No. 15",
  "dos_at_fermi_per_ev_cell": 3.23,
  "lattice_angstrom": [[3.196, -5.421, 0.000], [3.196, 5.421, 0.000], [-2.055, 0.000, 5.847]],
  "species": ["Zr", "Zr", "Zr", "Zr", "Zr", "Zr", "P", "P", "P", "P", "C", "C"],
  "fractional_positions": [[0.000, 0.500, 0.500], [0.140, 0.287, 0.003], [0.287, 0.140, 0.503], [0.500, 0.000, 0.000], [0.713, 0.860, 0.497], [0.860, 0.713, 0.997], [0.258, 0.742, 0.250], [0.419, 0.581, 0.750], [0.581, 0.419, 0.250], [0.742, 0.258, 0.750], [0.080, 0.920, 0.750], [0.920, 0.080, 0.250]]
}

=====

Which structure is the most stable? The one labeled 1).

=====

1) {
  "formula": "Pa3C2",
  "functional": "PBE",
  "state": "optimized geometry",
  "magmom_total_mub_per_fu": 0.00,
  "sg": "R-3m, No. 166",
  "dos_at_fermi_per_ev_cell": 5.23,
  "lattice_angstrom": [[1.741, 1.005, 8.655], [-1.741, 1.005, 8.655], [0.000, -2.010, 8.655]],
  "species": ["Pa", "Pa", "Pa", "C", "C"],
  "fractional_positions": [[0.000, 0.000, 0.000], [0.221, 0.221, 0.221], [0.779, 0.779, 0.779], [0.395, 0.395, 0.395], [0.605, 0.605, 0.605]]
}

=====

2) {
  "formula": "Pa3C2",
  "functional": "PBE",
  "state": "optimized geometry",
  "magmom_total_mub_per_fu": 0.00,
  "sg": "R-3c, No. 167",
  "dos_at_fermi_per_ev_cell": 13.36,
  "lattice_angstrom": [[2.994, 1.729, 5.958], [-2.994, 1.729, 5.958], [0.000, -3.457, 5.958]],
  "species": ["Pa", "Pa", "Pa", "Pa", "Pa", "Pa", "C", "C", "C", "C"],
  "fractional_positions": [[0.080, 0.750, 0.420], [0.250, 0.580, 0.920], [0.420, 0.080, 0.750], [0.580, 0.920, 0.250], [0.750, 0.420, 0.080], [0.920, 0.250, 0.580], [0.164, 0.164, 0.164], [0.336, 0.336, 0.336], [0.664, 0.664, 0.664], [0.836, 0.836, 0.836]]
}

=====

Which structure is the most stable? The one labeled 1).

=====

1) {
  "formula": "PaC2",
  "functional": "PBE",
  "state": "optimized geometry",
  "magmom_total_mub_per_fu": 0.00,
  "sg": "C2/c, No. 15",
  "dos_at_fermi_per_ev_cell": 4.48,
  "lattice_angstrom": [[3.229, -2.039, 0.000], [3.229, 2.039, 0.000], [-1.527, 0.000, 6.204]],
  "species": ["Pa", "Pa", "C", "C", "C", "C"],
  "fractional_positions": [[0.200, 0.800, 0.750], [0.800, 0.200, 0.250], [0.182, 0.422, 0.056], [0.422, 0.182, 0.556], [0.578, 0.818, 0.444], [0.818, 0.578, 0.944]]
}

=====

2) {
  "formula": "PaC2",
  "functional": "PBE",
  "state": "optimized geometry",
  "magmom_total_mub_per_fu": 0.00,
  "sg": "P4_2/mnm, No. 136",
  "dos_at_fermi_per_ev_cell": 3.21,
  "lattice_angstrom": [[4.218, 0.000, 0.000], [0.000, 4.218, 0.000], [0.000, 0.000, 4.896]],
  "species": ["Pa", "Pa", "C", "C", "C", "C"],
  "fractional_positions": [[0.000, 0.000, 0.000], [0.500, 0.500, 0.500], [0.114, 0.114, 0.500], [0.386, 0.614, 0.000], [0.614, 0.386, 0.000], [0.886, 0.886, 0.500]]
}

=====

Which structure is the most stable? The one labeled 1).

=====

1) {
  "formula": "Pa3C",
  "functional": "PBE",
  "state": "optimized geometry",
  "magmom_total_mub_per_fu": 0.00,
  "sg": "Pmm2, No. 25",
  "dos_at_fermi_per_ev_cell": 6.70,
  "lattice_angstrom": [[4.016, 0.000, 0.000], [0.000, 5.240, 0.000], [0.000, 0.000, 4.045]],
  "species": ["Pa", "Pa", "Pa", "C"],
  "fractional_positions": [[0.000, 0.000, 0.000], [0.000, 0.500, 0.278], [0.500, 0.000, 0.512], [0.500, 0.500, 0.608]]
}

=====

2) {
  "formula": "Pa3C",
  "functional": "PBE",
  "state": "optimized geometry",
  "magmom_total_mub_per_fu": 0.00,
  "sg": "I4/mmm, No. 139",
  "dos_at_fermi_per_ev_cell": 4.03,
  "lattice_angstrom": [[-1.767, 1.767, 6.843], [1.767, -1.767, 6.843], [1.767, 1.767, -6.843]],
  "species": ["Pa", "Pa", "Pa", "C"],
  "fractional_positions": [[0.000, 0.000, 0.000], [0.330, 0.330, 0.000], [0.670, 0.670, 0.000], [0.500, 0.500, 0.000]]
}

=====

Which structure is the most stable? The one labeled 2).